No. 1
A plane-wave DFT calculation with GGA-PBE was carried out for a geometry-optimized BaAs2PdBr structure.

Properties
The space group is P4/mmm (123). As for the energy above the most stable polymorph in this dataset: 0 meV per atom. Its density of states at the Fermi level is 2.869 states/eV per cell.

a = 4.798 Å, b = 4.798 Å, c = 6.478 Å
α = 90.00°, β = 90.00°, γ = 90.00°
Positions (direct):
1 Ba 0.000 0.000 0.000
2 As 0.000 0.500 0.500
3 As 0.500 0.000 0.500
4 Pd 0.500 0.500 0.500
5 Br 0.500 0.500 0.000

No. 2
A plane-wave DFT calculation with GGA-PBE was carried out for a geometry-optimized BaAsPdBr2 structure.

Properties
The space group is P4/mmm (123). As for the energy above the most stable polymorph in this dataset: 859 meV per atom. Its density of states at the Fermi level is 14.594 states/eV per cell.

a = 6.246 Å, b = 6.246 Å, c = 6.663 Å
α = 90.00°, β = 90.00°, γ = 90.00°
Positions (direct):
1 Ba 0.000 0.000 0.000
2 As 0.000 0.000 0.500
3 Pd 0.500 0.500 0.500
4 Br 0.000 0.500 0.000
5 Br 0.500 0.000 0.000

No. 3
A plane-wave DFT calculation with GGA-PBE was carried out for a geometry-optimized Ba6AsPd2Br3 structure.

Properties
The space group is C2/m (12). Its density of states at the Fermi level is 9.046 states/eV per cell.

a = 8.144 Å, b = 8.144 Å, c = 8.615 Å
α = 99.10°, β = 99.10°, γ = 120.02°
Positions (direct):
1 Ba 0.093 0.428 0.784
2 Ba 0.237 0.237 0.217
3 Ba 0.428 0.093 0.784
4 Ba 0.572 0.907 0.216
5 Ba 0.763 0.763 0.783
6 Ba 0.907 0.572 0.216
7 As 0.500 0.500 0.000
8 Pd 0.167 0.833 0.000
9 Pd 0.833 0.167 0.000
10 Br 0.000 0.000 0.500
11 Br 0.336 0.664 0.500
12 Br 0.664 0.336 0.500

No. 4
A plane-wave DFT calculation with GGA-PBE was carried out for a geometry-optimized BaAs2PdBr structure.

Properties
The space group is P4/mmm (123). As for the energy above the most stable polymorph in this dataset: 1347 meV per atom. Its density of states at the Fermi level is 12.720 states/eV per cell.

a = 6.535 Å, b = 6.535 Å, c = 6.170 Å
α = 90.00°, β = 90.00°, γ = 90.00°
Positions (direct):
1 Ba 0.000 0.000 0.000
2 As 0.000 0.500 0.000
3 As 0.500 0.000 0.000
4 Pd 0.500 0.500 0.500
5 Br 0.000 0.000 0.500

No. 5
A plane-wave DFT calculation with GGA-PBE was carried out for a geometry-optimized Ba8As3PdBr4 structure.

Properties
The space group is R-3m (166). Its density of states at the Fermi level is 7.233 states/eV per cell.

a = 9.697 Å, b = 9.697 Å, c = 9.697 Å
α = 58.95°, β = 58.95°, γ = 58.95°
Positions (direct):
1 Ba 0.238 0.740 0.740
2 Ba 0.240 0.240 0.240
3 Ba 0.260 0.260 0.762
4 Ba 0.260 0.762 0.260
5 Ba 0.740 0.238 0.740
6 Ba 0.740 0.740 0.238
7 Ba 0.760 0.760 0.760
8 Ba 0.762 0.260 0.260
9 As 0.000 0.000 0.500
10 As 0.000 0.500 0.000
11 As 0.500 0.000 0.000
12 Pd 0.500 0.500 0.500
13 Br 0.000 0.000 0.000
14 Br 0.000 0.500 0.500
15 Br 0.500 0.000 0.500
16 Br 0.500 0.500 0.000

No. 6
A plane-wave DFT calculation with GGA-PBE was carried out for a geometry-optimized Ba8As3PtBr4 structure.

Properties
The space group is C2/m (12). Its density of states at the Fermi level is 6.446 states/eV per cell.

a = 9.512 Å, b = 9.512 Å, c = 9.713 Å
α = 119.31°, β = 119.31°, γ = 59.98°
Positions (direct):
1 Ba 0.237 0.742 0.716
2 Ba 0.238 0.238 0.717
3 Ba 0.258 0.763 0.284
4 Ba 0.260 0.260 0.280
5 Ba 0.740 0.740 0.720
6 Ba 0.742 0.237 0.716
7 Ba 0.762 0.762 0.283
8 Ba 0.763 0.258 0.284
9 As 0.000 0.500 0.500
10 As 0.500 0.000 0.500
11 As 0.500 0.500 0.500
12 Pt 0.000 0.000 0.500
13 Br 0.000 0.000 0.000
14 Br 0.000 0.500 0.000
15 Br 0.500 0.000 0.000
16 Br 0.500 0.500 0.000

No. 7
A plane-wave DFT calculation with GGA-PBE was carried out for a geometry-optimized BaAs2PtBr structure.

Properties
The space group is P4/mmm (123). As for the energy above the most stable polymorph in this dataset: 0 meV per atom. Its density of states at the Fermi level is 4.897 states/eV per cell.

a = 4.938 Å, b = 4.938 Å, c = 5.667 Å
α = 90.00°, β = 90.00°, γ = 90.00°
Positions (direct):
1 Ba 0.000 0.000 0.000
2 As 0.000 0.500 0.500
3 As 0.500 0.000 0.500
4 Pt 0.500 0.500 0.500
5 Br 0.500 0.500 0.000

No. 8
A plane-wave DFT calculation with GGA-PBE was carried out for a geometry-optimized Ba8AsPt3Br3 structure.

Properties
The space group is R-3m (166). Its density of states at the Fermi level is 8.727 states/eV per cell.

a = 9.661 Å, b = 9.661 Å, c = 9.661 Å
α = 58.01°, β = 58.01°, γ = 58.01°
Positions (direct):
1 Ba 0.232 0.741 0.741
2 Ba 0.241 0.241 0.241
3 Ba 0.259 0.259 0.768
4 Ba 0.259 0.768 0.259
5 Ba 0.741 0.232 0.741
6 Ba 0.741 0.741 0.232
7 Ba 0.759 0.759 0.759
8 Ba 0.768 0.259 0.259
9 As 0.500 0.500 0.500
10 Pt 0.000 0.000 0.500
11 Pt 0.000 0.500 0.000
12 Pt 0.500 0.000 0.000
13 Br 0.000 0.500 0.500
14 Br 0.500 0.000 0.500
15 Br 0.500 0.500 0.000

No. 9
A plane-wave DFT calculation with GGA-PBE was carried out for a geometry-optimized BaAs2PtBr structure.

Properties
The space group is P4/mmm (123). As for the energy above the most stable polymorph in this dataset: 1650 meV per atom. Its density of states at the Fermi level is 8.762 states/eV per cell.

a = 6.508 Å, b = 6.508 Å, c = 6.048 Å
α = 90.00°, β = 90.00°, γ = 90.00°
Positions (direct):
1 Ba 0.000 0.000 0.000
2 As 0.000 0.500 0.000
3 As 0.500 0.000 0.000
4 Pt 0.500 0.500 0.500
5 Br 0.000 0.000 0.500

No. 10
A plane-wave DFT calculation with GGA-PBE was carried out for a geometry-optimized Ba6As2PtBr3 structure.

Properties
The space group is C2/m (12). Its density of states at the Fermi level is 5.030 states/eV per cell.

a = 8.188 Å, b = 8.188 Å, c = 8.507 Å
α = 99.39°, β = 99.39°, γ = 119.88°
Positions (direct):
1 Ba 0.072 0.400 0.216
2 Ba 0.256 0.256 0.779
3 Ba 0.400 0.072 0.216
4 Ba 0.600 0.928 0.784
5 Ba 0.744 0.744 0.221
6 Ba 0.928 0.600 0.784
7 As 0.334 0.666 0.000
8 As 0.666 0.334 0.000
9 Pt 0.000 0.000 0.000
10 Br 0.174 0.826 0.500
11 Br 0.500 0.500 0.500
12 Br 0.826 0.174 0.500

No. 11
A plane-wave DFT calculation with GGA-PBE was carried out for a geometry-optimized RbBaAsBr2 structure.

Properties
The space group is P4/mmm (123). As for the energy above the most stable polymorph in this dataset: 424 meV per atom. Its density of states at the Fermi level is 4.509 states/eV per cell.

a = 6.050 Å, b = 6.050 Å, c = 5.883 Å
α = 90.00°, β = 90.00°, γ = 90.00°
Positions (direct):
1 Rb 0.000 0.000 0.000
2 Ba 0.500 0.500 0.500
3 As 0.000 0.000 0.500
4 Br 0.000 0.500 0.000
5 Br 0.500 0.000 0.000

No. 12
A plane-wave DFT calculation with GGA-PBE was carried out for a geometry-optimized RbBaAsBr2 structure.

Properties
The space group is P4/mmm (123). As for the energy above the most stable polymorph in this dataset: 0 meV per atom. Its density of states at the Fermi level is 3.483 states/eV per cell.

a = 6.346 Å, b = 6.346 Å, c = 6.571 Å
α = 90.00°, β = 90.00°, γ = 90.00°
Positions (direct):
1 Rb 0.000 0.000 0.000
2 Ba 0.500 0.500 0.500
3 As 0.500 0.500 0.000
4 Br 0.000 0.500 0.500
5 Br 0.500 0.000 0.500

No. 13
A plane-wave DFT calculation with GGA-PBE was carried out for a geometry-optimized Rb2BaAsBr6 structure.

Properties
The space group is I4/mmm (139). Its density of states at the Fermi level is 5.202 states/eV per cell.

a = 8.379 Å, b = 8.379 Å, c = 8.379 Å
α = 118.50°, β = 118.50°, γ = 92.61°
Positions (direct):
1 Rb 0.250 0.750 0.500
2 Rb 0.750 0.250 0.500
3 Ba 0.000 0.000 0.000
4 As 0.500 0.500 0.000
5 Br 0.259 0.259 0.518
6 Br 0.259 0.741 0.000
7 Br 0.273 0.273 0.000
8 Br 0.727 0.727 0.000
9 Br 0.741 0.259 0.000
10 Br 0.741 0.741 0.482

No. 14
A plane-wave DFT calculation with GGA-PBE was carried out for a geometry-optimized BaReAsBr2 structure.

Properties
The space group is P4/mmm (123). As for the energy above the most stable polymorph in this dataset: 0 meV per atom. Its density of states at the Fermi level is 4.034 states/eV per cell.

a = 5.374 Å, b = 5.374 Å, c = 4.793 Å
α = 90.00°, β = 90.00°, γ = 90.00°
Positions (direct):
1 Ba 0.000 0.000 0.000
2 Re 0.500 0.500 0.500
3 As 0.500 0.500 0.000
4 Br 0.000 0.500 0.500
5 Br 0.500 0.000 0.500

No. 15
A plane-wave DFT calculation with GGA-PBE was carried out for a geometry-optimized BaReAsBr2 structure.

Properties
The space group is P4/mmm (123). As for the energy above the most stable polymorph in this dataset: 1195 meV per atom. Its density of states at the Fermi level is 2.919 states/eV per cell.

a = 6.176 Å, b = 6.176 Å, c = 6.667 Å
α = 90.00°, β = 90.00°, γ = 90.00°
Positions (direct):
1 Ba 0.000 0.000 0.000
2 Re 0.500 0.500 0.500
3 As 0.000 0.000 0.500
4 Br 0.000 0.500 0.000
5 Br 0.500 0.000 0.000

No. 16
A plane-wave DFT calculation with GGA-PBE was carried out for a geometry-optimized BaAs2RhBr structure.

Properties
The space group is P4/mmm (123). As for the energy above the most stable polymorph in this dataset: 0 meV per atom. Its density of states at the Fermi level is 3.772 states/eV per cell.

a = 4.812 Å, b = 4.812 Å, c = 5.819 Å
α = 90.00°, β = 90.00°, γ = 90.00°
Positions (direct):
1 Ba 0.000 0.000 0.000
2 As 0.000 0.500 0.500
3 As 0.500 0.000 0.500
4 Rh 0.500 0.500 0.500
5 Br 0.500 0.500 0.000

No. 17
A plane-wave DFT calculation with GGA-PBE was carried out for a geometry-optimized Ba4AsRhBr2 structure.

Properties
The space group is P2/m (10).

a = 8.082 Å, b = 4.692 Å, c = 8.485 Å
α = 90.00°, β = 108.80°, γ = 90.00°
Positions (direct):
1 Ba 0.232 0.000 0.210
2 Ba 0.250 0.500 0.789
3 Ba 0.750 0.500 0.211
4 Ba 0.768 0.000 0.790
5 As 0.500 0.000 0.000
6 Rh 0.000 0.500 0.000
7 Br 0.000 0.000 0.500
8 Br 0.500 0.500 0.500

No. 18
A plane-wave DFT calculation with GGA-PBE was carried out for a geometry-optimized Ba6AsRh2Br3 structure.

Properties
The space group is C2/m (12).

a = 8.024 Å, b = 8.024 Å, c = 8.480 Å
α = 99.09°, β = 99.09°, γ = 119.99°
Positions (direct):
1 Ba 0.087 0.430 0.791
2 Ba 0.226 0.226 0.210
3 Ba 0.430 0.087 0.791
4 Ba 0.570 0.913 0.209
5 Ba 0.774 0.774 0.790
6 Ba 0.913 0.570 0.209
7 As 0.500 0.500 0.000
8 Rh 0.167 0.833 0.000
9 Rh 0.833 0.167 0.000
10 Br 0.000 0.000 0.500
11 Br 0.334 0.666 0.500
12 Br 0.666 0.334 0.500

No. 19
A plane-wave DFT calculation with GGA-PBE was carried out for a geometry-optimized Ba6As2RhBr3 structure.

Properties
The space group is C2/m (12).

a = 8.167 Å, b = 8.167 Å, c = 8.476 Å
α = 99.25°, β = 99.25°, γ = 120.00°
Positions (direct):
1 Ba 0.071 0.393 0.213
2 Ba 0.251 0.251 0.788
3 Ba 0.393 0.071 0.213
4 Ba 0.607 0.929 0.787
5 Ba 0.749 0.749 0.212
6 Ba 0.929 0.607 0.787
7 As 0.333 0.667 0.000
8 As 0.667 0.333 0.000
9 Rh 0.000 0.000 0.000
10 Br 0.167 0.833 0.500
11 Br 0.500 0.500 0.500
12 Br 0.833 0.167 0.500

No. 20
A plane-wave DFT calculation with GGA-PBE was carried out for a geometry-optimized Ba2AsRhBr structure.

Properties
The space group is P4/mmm (123). Its density of states at the Fermi level is 1.214 states/eV per cell.

a = 6.159 Å, b = 6.159 Å, c = 4.640 Å
α = 90.00°, β = 90.00°, γ = 90.00°
Positions (direct):
1 Ba 0.000 0.500 0.000
2 Ba 0.500 0.000 0.000
3 As 0.000 0.000 0.500
4 Rh 0.000 0.000 0.000
5 Br 0.500 0.500 0.500

No. 21
A plane-wave DFT calculation with GGA-PBE was carried out for a geometry-optimized Ba8As3RhBr4 structure.

Properties
The space group is R-3m (166).

a = 9.716 Å, b = 9.716 Å, c = 9.716 Å
α = 58.27°, β = 58.27°, γ = 58.27°
Positions (direct):
1 Ba 0.240 0.240 0.240
2 Ba 0.246 0.733 0.733
3 Ba 0.267 0.267 0.754
4 Ba 0.267 0.754 0.267
5 Ba 0.733 0.246 0.733
6 Ba 0.733 0.733 0.246
7 Ba 0.754 0.267 0.267
8 Ba 0.760 0.760 0.760
9 As 0.000 0.000 0.500
10 As 0.000 0.500 0.000
11 As 0.500 0.000 0.000
12 Rh 0.500 0.500 0.500
13 Br 0.000 0.000 0.000
14 Br 0.000 0.500 0.500
15 Br 0.500 0.000 0.500
16 Br 0.500 0.500 0.000

No. 22
A plane-wave DFT calculation with GGA-PBE was carried out for a geometry-optimized BaAs2RhBr structure.

Properties
The space group is P4/mmm (123). As for the energy above the most stable polymorph in this dataset: 1709 meV per atom. Its density of states at the Fermi level is 5.144 states/eV per cell.

a = 6.391 Å, b = 6.391 Å, c = 6.123 Å
α = 90.00°, β = 90.00°, γ = 90.00°
Positions (direct):
1 Ba 0.000 0.000 0.000
2 As 0.000 0.500 0.000
3 As 0.500 0.000 0.000
4 Rh 0.500 0.500 0.500
5 Br 0.000 0.000 0.500

No. 23
A plane-wave DFT calculation with GGA-PBE was carried out for a geometry-optimized BaAsSBr2 structure.

Properties
The space group is P4/mmm (123). As for the energy above the most stable polymorph in this dataset: 694 meV per atom. Its density of states at the Fermi level is 9.926 states/eV per cell.

a = 6.120 Å, b = 6.120 Å, c = 6.944 Å
α = 90.00°, β = 90.00°, γ = 90.00°
Positions (direct):
1 Ba 0.000 0.000 0.000
2 As 0.000 0.000 0.500
3 S 0.500 0.500 0.500
4 Br 0.000 0.500 0.000
5 Br 0.500 0.000 0.000

No. 24
A plane-wave DFT calculation with GGA-PBE was carried out for a geometry-optimized Ba8As3SBr4 structure.

Properties
The space group is R-3m (166). Its density of states at the Fermi level is 3.705 states/eV per cell.

a = 9.618 Å, b = 9.618 Å, c = 9.618 Å
α = 59.13°, β = 59.13°, γ = 59.13°
Positions (direct):
1 Ba 0.239 0.740 0.740
2 Ba 0.241 0.241 0.241
3 Ba 0.260 0.260 0.761
4 Ba 0.260 0.761 0.260
5 Ba 0.740 0.239 0.740
6 Ba 0.740 0.740 0.239
7 Ba 0.759 0.759 0.759
8 Ba 0.761 0.260 0.260
9 As 0.000 0.000 0.500
10 As 0.000 0.500 0.000
11 As 0.500 0.000 0.000
12 S 0.500 0.500 0.500
13 Br 0.000 0.000 0.000
14 Br 0.000 0.500 0.500
15 Br 0.500 0.000 0.500
16 Br 0.500 0.500 0.000

no.,E_tot (eV per atom)
1,-4.132
2,-2.942
3,-3.880
4,-2.785
5,-4.039
6,-4.130
7,-4.247
8,-4.067
9,-2.597
10,-4.125
11,-2.802
12,-3.226
13,-3.109
14,-4.820
15,-3.625
16,-4.601
17,-4.157
18,-4.159
19,-4.161
20,-4.544
21,-4.154
22,-2.892
23,-2.630
24,-4.186